No. 1
Compound: RbTbSO
Source: OQMD
Functional: GGA-PBE
Structure: optimized geometry

The space group is P2_1 (No. 4) and the conventional cell measures 5.748, 5.748 and 11.774 Å, with angles of 90.00, 104.21 and 90.00 degrees. Symmetry generates all atoms from Rb at (0.056, 0.000, 0.107), Rb at (0.443, 0.001, 0.892), Tb at (0.046, 0.247, 0.593), Tb at (0.454, 0.247, 0.407), S at (0.117, 0.499, 0.226), S at (0.384, 0.500, 0.774), O at (0.250, 0.496, 0.500) and O at (0.250, 0.996, 0.500).

No. 2
Compound: SrLiGdSe3
Source: OQMD
Functional: GGA-PBE
Structure: optimized geometry

The space group is C2/m (No. 12) and the conventional cell measures 17.832, 4.158 and 8.686 Å, with angles of 90.00, 104.31 and 90.00 degrees. Symmetry generates all atoms from Sr at (0.133, 0.000, 0.065), Li at (0.005, 0.500, 0.701), Gd at (0.166, 0.000, 0.588), Se at (0.000, 0.000, 0.500), Se at (0.000, 0.500, 0.000), Se at (0.166, 0.500, 0.355) and Se at (0.176, 0.500, 0.819).

No. 3
Compound: Lu2Sc4Sb3N3
Source: OQMD
Functional: GGA-PBE
Structure: optimized geometry

The space group is C2/c (No. 15) and the conventional cell measures 10.173, 5.872 and 14.537 Å, with angles of 90.00, 103.49 and 90.00 degrees. Symmetry generates all atoms from Lu at (0.054, 0.084, 0.411), Sc at (0.111, 0.418, 0.583), Sc at (0.222, 0.416, 0.917), Sb at (0.000, 0.438, 0.250), Sb at (0.177, 0.093, 0.750), N at (0.084, 0.251, 0.000) and N at (0.250, 0.250, 0.500).

No. 4
Compound: LiTaFeSb
Source: OQMD
Functional: GGA-PBE
Structure: optimized geometry

The space group is F-43m (No. 216) and the conventional cell measures 6.355, 6.355 and 6.355 Å, with angles of 90.00, 90.00 and 90.00 degrees. Symmetry generates all atoms from Li at (0.000, 0.000, 0.000), Ta at (0.250, 0.250, 0.250), Fe at (0.250, 0.250, 0.750) and Sb at (0.000, 0.000, 0.500).

No. 5
Compound: BeTeMoPb
Source: OQMD
Functional: GGA-PBE
Structure: optimized geometry

The space group is F-43m (No. 216) and the conventional cell measures 6.957, 6.957 and 6.957 Å, with angles of 90.00, 90.00 and 90.00 degrees. Symmetry generates all atoms from Be at (0.000, 0.000, 0.000), Te at (0.000, 0.000, 0.500), Mo at (0.250, 0.250, 0.750) and Pb at (0.250, 0.250, 0.250).

No. 6
Compound: K2ScOsO6
Source: OQMD
Functional: GGA-PBE
Structure: optimized geometry

The space group is I4/m (No. 87) and the conventional cell measures 5.630, 5.630 and 7.970 Å, with angles of 90.00, 90.00 and 90.00 degrees. Symmetry generates all atoms from K at (0.000, 0.500, 0.250), Sc at (0.000, 0.000, 0.000), Os at (0.000, 0.000, 0.500), O at (0.000, 0.000, 0.262) and O at (0.234, 0.758, 0.500).

No. 7
Compound: FeTcAgB
Source: OQMD
Functional: GGA-PBE
Structure: optimized geometry

The space group is F-43m (No. 216) and the conventional cell measures 5.875, 5.875 and 5.875 Å, with angles of 90.00, 90.00 and 90.00 degrees. Symmetry generates all atoms from Fe at (0.000, 0.000, 0.000), Tc at (0.000, 0.000, 0.500), Ag at (0.250, 0.250, 0.250) and B at (0.250, 0.250, 0.750).

No. 8
Compound: La2GdSn7
Source: OQMD
Functional: GGA-PBE
Structure: optimized geometry

The space group is Cmmm (No. 65) and the conventional cell measures 4.568, 26.177 and 4.682 Å, with angles of 90.00, 90.00 and 90.00 degrees. Symmetry generates all atoms from La at (0.000, 0.184, 0.000), Gd at (0.000, 0.000, 0.000), Sn at (0.000, 0.093, 0.500), Sn at (0.000, 0.289, 0.500), Sn at (0.000, 0.408, 0.000) and Sn at (0.000, 0.500, 0.500).

The records above yield spin magnetization values of 0.00, 0.01, 0.01, 9.07, 8.55, 0.00, 9.45, 0.02 Bohr magnetons per cell, respectively.
The records above yield uncorrected energy values of -5.91, -4.93, -7.23, -6.15, -4.36, -6.86, -6.19, -4.86 eV per atom, respectively.